No. 1
Material: LaInW2
Method: DFT, GGA-PBE
State: optimized geometry

Summary:
SG: Pmmm (47)
ΔE_f in meV/atom: 856
Crystal system: orthorhombic
Calculated volume in Å³/atom: 21.0

Cell: 3.553 4.938 4.798 Å, 90.00 90.00 90.00°
Positions (direct):
W (0.500, 0.500, 0.000)
W (0.000, 0.000, 0.000)
La (0.000, 0.500, 0.500)
In (0.500, 0.000, 0.500)

=====

No. 2
Material: Sm2Ga12Ir
Method: DFT, GGA-PBE
State: optimized geometry

Summary:
SG: P4/nbm (125)
ΔE_f in meV/atom: -420
Crystal system: tetragonal
Calculated volume in Å³/atom: 19.4

Cell: 6.109 6.109 15.600 Å, 90.00 90.00 90.00°
Positions (direct):
Ga (0.167, 0.667, 0.569)
Sm (0.500, 0.000, 0.239)
Ga (0.500, 0.500, 0.653)
Ga (0.833, 0.667, 0.431)
Ga (0.000, 0.000, 0.810)
Ga (0.167, 0.333, 0.431)
Ga (0.333, 0.833, 0.431)
Ir (0.500, 0.000, 0.000)
Ga (0.750, 0.750, 0.087)
Ga (0.750, 0.250, 0.087)
Ga (0.667, 0.167, 0.431)
Sm (0.000, 0.500, 0.761)
Ga (0.250, 0.750, 0.087)
Ga (0.250, 0.250, 0.087)
Ga (0.333, 0.167, 0.569)
Ga (0.750, 0.250, 0.913)
Ga (0.500, 0.500, 0.810)
Ir (0.000, 0.500, 0.000)
Ga (0.000, 0.000, 0.653)
Ga (0.667, 0.833, 0.569)
Ga (0.833, 0.333, 0.569)
Ga (0.000, 0.000, 0.347)
Sm (0.500, 0.000, 0.761)
Ga (0.500, 0.500, 0.347)
Ga (0.750, 0.750, 0.913)
Ga (0.250, 0.750, 0.913)
Ga (0.250, 0.250, 0.913)
Sm (0.000, 0.500, 0.239)
Ga (0.000, 0.000, 0.190)
Ga (0.500, 0.500, 0.190)

=====

No. 3
Material: TbSm4Ho7
Method: DFT, GGA-PBE
State: optimized geometry

Summary:
SG: P-1 (2)
ΔE_f in meV/atom: 88
Crystal system: triclinic
Distance to the lowest polymorph of the same formula in meV/atom: 0.0
Calculated volume in Å³/atom: 32.3

Cell: 6.807 6.528 11.779 Å, 75.22 50.02 81.78°
Positions (direct):
Ho (0.721, 0.189, 0.385)
Ho (0.942, 0.682, 0.359)
Ho (0.279, 0.811, 0.615)
Sm (0.475, 0.361, 0.716)
Ho (0.802, 0.513, 0.949)
Sm (0.308, 0.162, 0.308)
Ho (0.500, 0.000, 0.000)
Ho (0.058, 0.318, 0.641)
Sm (0.692, 0.838, 0.692)
Ho (0.198, 0.487, 0.051)
Tb (0.000, 0.000, 0.000)
Sm (0.525, 0.639, 0.284)

=====

No. 4
Material: Os5Pb
Method: DFT, GGA-PBE
State: optimized geometry

Summary:
SG: Cm (8)
ΔE_f in meV/atom: 550
Crystal system: monoclinic
Distance to the lowest polymorph of the same formula in meV/atom: 0.0
Calculated volume in Å³/atom: 15.7

Cell: 5.321 5.321 6.703 Å, 75.28 75.28 31.04°
Positions (direct):
Os (0.017, 0.017, 0.003)
Os (0.597, 0.597, 0.295)
Os (0.329, 0.329, 0.346)
Pb (0.289, 0.289, 0.944)
Os (0.946, 0.946, 0.598)
Os (0.655, 0.655, 0.648)

=====

No. 5
Material: Rb2AuBr6Cl
Method: DFT, GGA-PBE
State: optimized geometry

Summary:
SG: I4/mmm (139)
Crystal system: tetragonal
Calculated volume in Å³/atom: 34.3
E_form (uncorrected) in eV/atom: -0.75

Cell: 7.898 7.898 7.842 Å, 59.76 59.76 90.00°
Positions (direct):
Au (0.000, 0.000, 0.000)
Rb (0.750, 0.250, 0.500)
Br (0.229, 0.771, 0.000)
Br (0.229, 0.229, 0.000)
Br (0.771, 0.229, 0.000)
Br (0.771, 0.771, 0.000)
Br (0.236, 0.236, 0.527)
Cl (0.500, 0.500, 0.000)
Br (0.764, 0.764, 0.473)
Rb (0.250, 0.750, 0.500)

=====

No. 6
Material: CuSi2P
Method: DFT, GGA-PBE
State: optimized geometry

Summary:
SG: Imm2 (44)
Crystal system: orthorhombic
Calculated volume in Å³/atom: 15.2
E_form (uncorrected) in eV/atom: 0.31

Cell: 5.563 5.563 5.563 Å, 145.01 141.83 52.74°
Positions (direct):
P (0.177, 0.677, 0.500)
Cu (0.500, 0.500, 0.000)
Si (0.815, 0.315, 0.500)
Si (0.008, 0.008, 0.000)

=====

No. 7
Material: Hg2H2F5
Method: DFT, GGA-PBE
State: optimized geometry

Summary:
SG: Ima2 (46)
Crystal system: orthorhombic
VASP energy in eV per cell: -57.645
Calculated volume in Å³/atom: 13.5

Cell: 5.139 6.607 8.289 Å, 113.49 108.06 90.00°
Positions (direct):
Hg (0.713, 0.249, 0.291)
F (0.304, 0.119, 0.339)
H (0.500, 0.648, 0.000)
H (0.000, 0.148, 0.000)
F (0.535, 0.619, 0.339)
H (0.622, 0.703, 0.500)
F (0.728, 0.659, 0.009)
Hg (0.287, 0.959, 0.709)
H (0.378, 0.203, 0.500)
Hg (0.078, 0.749, 0.291)
F (0.090, 0.569, 0.500)
F (0.465, 0.280, 0.661)
F (0.272, 0.650, 0.991)
Hg (0.922, 0.459, 0.709)
F (0.696, 0.780, 0.661)
F (0.910, 0.069, 0.500)
F (0.780, 0.159, 0.009)
F (0.220, 0.150, 0.991)

=====

No. 8
Material: TbSm2Pd3
Method: DFT, GGA-PBE
State: optimized geometry

Summary:
SG: Cmmm (65)
ΔE_f in meV/atom: -816
Crystal system: orthorhombic
Distance to the lowest polymorph of the same formula in meV/atom: 0.0
Calculated volume in Å³/atom: 22.6

Cell: 3.479 5.084 15.317 Å, 90.00 90.00 90.00°
Positions (direct):
Pd (0.500, 0.500, 0.000)
Sm (0.000, 0.500, 0.833)
Sm (0.000, 0.000, 0.667)
Pd (0.500, 0.000, 0.500)
Pd (0.500, 0.000, 0.839)
Sm (0.000, 0.500, 0.167)
Tb (0.000, 0.000, 0.000)
Pd (0.500, 0.000, 0.161)
Pd (0.500, 0.500, 0.661)
Pd (0.500, 0.500, 0.339)
Tb (0.000, 0.500, 0.500)
Sm (0.000, 0.000, 0.333)

=====

- Look up the calculated volume of the fourth one.
  15.7 Å³/atom